Mn2AlO6: optimized geometry, PBE+U.

a b c (Å): 4.1868 4.8471 4.8471
angles (deg): 120.00 90.00 90.00
Site moments in Bohr magnetons follow the coordinates.
Element x y z (fractional)
O 0.2534 0.3369 0.3369  -0.19
O 0.7466 0.0000 0.3369  -0.19
O 0.7466 0.6631 0.6631  -0.19
O 0.2534 0.6631 0.0000  -0.19
O 0.7466 0.3369 0.0000  -0.19
O 0.2534 0.0000 0.6631  -0.19
Al 0.0000 0.0000 0.0000  0.01
Mn 0.5000 0.6667 0.3333  3.09
Mn 0.5000 0.3333 0.6667  3.09

Computed properties:
The energy above the most stable polymorph in this dataset comes out at 0 meV/atom. The value obtained for the volume is 9.47 Å³/atom. As for the spin magnetization: 5.00 μB per formula unit. The value obtained for the density of states at the Fermi level is 0.53 states/eV per atom.